# LiHoErSn (PBE, relaxed)
# **Magnetic moment**: 0.00 μB per atom
# **E_tot**: -4.156 eV per atom
# **D(E_F)**: 13.25 states/eV/cell
data_LiHoErSn
_chemical_formula_sum 'Li4 Ho4 Er4 Sn4'
_space_group_name_H-M_alt 'F -4 3 m'
_space_group_IT_number 216
_space_group_name_Hall 'F -4 2 3'
_cell_length_a 7.326
_cell_length_b 7.326
_cell_length_c 7.326
_cell_angle_alpha 90.00
_cell_angle_beta 90.00
_cell_angle_gamma 90.00
loop_
_atom_site_label
_atom_site_type_symbol
_atom_site_fract_x
_atom_site_fract_y
_atom_site_fract_z
Li1 Li 0.000 0.000 0.000
Ho1 Ho 0.250 0.250 0.250
Er1 Er 0.250 0.250 0.750
Sn1 Sn 0.000 0.000 0.500

# Li2HoEr2Sn2 (PBE, relaxed)
# **Magnetic moment**: 0.00 μB per atom
# **E_tot**: -4.078 eV per atom
# **D(E_F)**: 12.63 states/eV/cell
data_Li2HoEr2Sn2
_chemical_formula_sum 'Li6 Ho3 Er6 Sn6'
_space_group_name_H-M_alt 'R -3 m'
_space_group_IT_number 166
_space_group_name_Hall '-R 3 2"'
_cell_length_a 4.7635
_cell_length_b 4.7635
_cell_length_c 26.1371
_cell_angle_alpha 90.00
_cell_angle_beta 90.00
_cell_angle_gamma 120.00
loop_
_atom_site_label
_atom_site_type_symbol
_atom_site_fract_x
_atom_site_fract_y
_atom_site_fract_z
Li1 Li 0.0000 0.0000 0.0972
Ho1 Ho 0.0000 0.0000 0.5000
Er1 Er 0.0000 0.0000 0.3709
Sn1 Sn 0.0000 0.0000 0.2369

# Li4Ho3ErTe8 (PBE, relaxed)
# **Magnetic moment**: 0.00 μB per atom
# **E_tot**: -4.478 eV per atom
# **Formation energy from raw total energies**: -20.6 eV per formula unit
data_Li4Ho3ErTe8
_chemical_formula_sum 'Li12 Ho9 Er3 Te24'
_space_group_name_H-M_alt 'R -3 m'
_space_group_IT_number 166
_space_group_name_Hall '-R 3 2"'
_cell_length_a 8.6494
_cell_length_b 8.6494
_cell_length_c 21.1624
_cell_angle_alpha 90.00
_cell_angle_beta 90.00
_cell_angle_gamma 120.00
loop_
_atom_site_label
_atom_site_type_symbol
_atom_site_fract_x
_atom_site_fract_y
_atom_site_fract_z
Li1 Li 0.0000 0.0000 0.0000
Li2 Li 0.0000 0.5000 0.0000
Ho1 Ho 0.0000 0.5000 0.5000
Er1 Er 0.0000 0.0000 0.5000
Te1 Te 0.0000 0.0000 0.2515
Te2 Te 0.0008 0.5004 0.2513